(1)
## AcLa4Nd2Th (PBE-GGA)

Data for a relaxed structure of AcLa4Nd2Th.

Properties
- energy relative to the elements (eV/atom) = 0.0404
- size of the total moment (μB/atom) = 0.00
- energy (eV per formula unit) = -40.5

a b c (Å): 5.2362 6.4656 9.8911
angles (deg): 90.11 74.65 66.11
Last column: nearest neighbours and their distance in Å.
Fractional positions:
Ac: 0.5000 0.5000 0.5000  8 La 3.76-3.83, 4 Nd 3.83
La: 0.1200 0.1240 0.6361  1 Th 3.64, 4 Nd 3.65-3.94, 4 La 3.72-3.85, 3 Ac 3.76-3.77
La: 0.3702 0.3749 0.8847  4 Nd 3.57-3.78, 4 La 3.62-3.72, 3 Th 3.69-3.72, 1 Ac 3.83
La: 0.8800 0.8760 0.3639  1 Th 3.64, 4 Nd 3.65-3.94, 4 La 3.72-3.85, 3 Ac 3.76-3.77
La: 0.6298 0.6251 0.1153  4 Nd 3.57-3.78, 4 La 3.62-3.72, 3 Th 3.69-3.72, 1 Ac 3.83
Nd: 0.7340 0.7690 0.7630  8 La 3.57-3.94, 2 Th 3.61, 2 Ac 3.83
Nd: 0.2660 0.2310 0.2370  8 La 3.57-3.94, 2 Th 3.61, 2 Ac 3.83
Th: 0.0000 0.0000 0.0000  4 Nd 3.61, 8 La 3.64-3.72

(2)
## Sm2MgZr (PBE-GGA)

Data for a relaxed structure of Sm2MgZr.

Properties
- energy relative to the elements (eV/atom) = 0.1299
- size of the total moment (μB/atom) = 0.43
- energy (eV per formula unit) = -19.1
- offset from the most stable computed form (kJ/mol of atoms) = 10.64

a b c (Å): 5.4146 5.4146 5.4146
angles (deg): 60.00 60.00 60.00
Last column: nearest neighbours and their distance in Å.
Fractional positions:
Mg: 0.0000 0.0000 0.0000  8 Sm 3.32
Zr: 0.5000 0.5000 0.5000  8 Sm 3.32
Sm: 0.2500 0.2500 0.2500  4 Mg 3.32, 4 Zr 3.32
Sm: 0.7500 0.7500 0.7500  4 Zr 3.32, 4 Mg 3.32

(3)
## GaCu (PBE-GGA)

Data for a relaxed structure of GaCu.

Properties
- energy relative to the elements (eV/atom) = -0.0463
- size of the total moment (μB/atom) = 0.00
- energy (eV per formula unit) = -7.2

a b c (Å): 2.8040 4.4285 13.7189
angles (deg): 90.00 90.00 90.00
Last column: nearest neighbours and their distance in Å.
Fractional positions:
Ga: 0.0000 0.3918 0.8333  6 Cu 2.59-2.65, 6 Ga 2.80-2.85
Ga: 0.5000 0.6082 0.6667  6 Cu 2.59-2.65, 6 Ga 2.80-2.85
Ga: 0.5000 0.6082 0.3333  6 Cu 2.59-2.65, 6 Ga 2.80-2.85
Ga: 0.0000 0.3918 0.1667  6 Cu 2.59-2.65, 6 Ga 2.80-2.85
Ga: 0.0000 0.3914 0.5000  6 Cu 2.59-2.65, 6 Ga 2.80-2.85
Ga: 0.5000 0.6086 0.0000  6 Cu 2.59-2.65, 6 Ga 2.80-2.85
Cu: 0.0000 0.1011 0.6667  6 Ga 2.59-2.65, 6 Cu 2.80-2.83
Cu: 0.5000 0.8989 0.8333  6 Ga 2.59-2.65, 6 Cu 2.80-2.83
Cu: 0.5000 0.8989 0.1667  6 Ga 2.59-2.65, 6 Cu 2.80-2.83
Cu: 0.0000 0.1011 0.3333  6 Ga 2.59-2.65, 6 Cu 2.80-2.83
Cu: 0.0000 0.1014 0.0000  6 Ga 2.59-2.65, 6 Cu 2.80-2.83
Cu: 0.5000 0.8986 0.5000  6 Ga 2.59-2.65, 6 Cu 2.80-2.83

- energy of number 3 (GaCu)?
  -7.2 eV per formula unit